The following is a PBE-GGA calculation of a relaxed TbCe3Pb4 crystal, from Alexandria via LeMat-Bulk.

polymorph energy (0 for the lowest one): 102.2 meV/atom
ΔH_f (0 K): -0.308 eV per atom
M_tot: 0.1 μB per cell

a = 6.4093 Å, b = 12.8163 Å, c = 6.4094 Å
α = 90.00°, β = 90.00°, γ = 90.00°
Fractional coordinates of all 16 atoms:
1 Tb 0.2500 0.2500 0.2490
2 Tb 0.7500 0.7500 0.7510
3 Ce 0.2500 0.0000 0.7503
4 Ce 0.2500 0.5000 0.7503
5 Ce 0.2500 0.7500 0.2517
6 Ce 0.7500 0.0000 0.2497
7 Ce 0.7500 0.2500 0.7483
8 Ce 0.7500 0.5000 0.2497
9 Pb 0.2500 0.2500 0.7490
10 Pb 0.2500 0.5008 0.2503
11 Pb 0.2500 0.7500 0.7519
12 Pb 0.2500 0.9992 0.2503
13 Pb 0.7500 0.0008 0.7497
14 Pb 0.7500 0.2500 0.2481
15 Pb 0.7500 0.4992 0.7497
16 Pb 0.7500 0.7500 0.2510